Compound: VI2NF
Source: the Alexandria database
Functional: PBE with a Hubbard U
Structure: relaxed

The relative energy among the computed polymorphs comes out at 1324 meV per atom. The magnetization is 0.0 μB/f.u. The density of states at the Fermi level comes out at 8.24 states/eV per cell.

The structure in POSCAR format:
```
VI2NF
1.0
5.3823 0.0000 0.0000
0.0000 5.3823 0.0000
0.0000 0.0000 3.6539
I N V F
2 1 1 1
Direct
0.0000 0.5000 0.0000
0.5000 0.0000 0.0000
0.0000 0.0000 0.5000
0.5000 0.5000 0.5000
0.0000 0.0000 0.0000
```